Compound: In2Ir
Source: Alexandria
Functional: GGA-PBE
Structure: optimized geometry

Cell: 8.796 8.796 8.796 Å, 60.00 60.00 60.00°
Positions (direct):
In 0.000 0.500 0.500
In 0.000 0.500 0.000
In 0.000 0.000 0.500
In 0.500 0.500 0.500
In 0.176 0.676 0.074
In 0.176 0.074 0.676
In 0.176 0.074 0.074
In 0.574 0.676 0.676
In 0.574 0.676 0.074
In 0.574 0.074 0.676
In 0.824 0.324 0.926
In 0.824 0.926 0.324
In 0.824 0.926 0.926
In 0.426 0.324 0.324
In 0.426 0.324 0.926
In 0.426 0.926 0.324
Ir 0.175 0.275 0.275
Ir 0.775 0.675 0.275
Ir 0.775 0.275 0.675
Ir 0.775 0.275 0.275
Ir 0.825 0.725 0.725
Ir 0.225 0.325 0.725
Ir 0.225 0.725 0.325
Ir 0.225 0.725 0.725

Results
* ΔE_f: -9.8 kJ per mole of atoms
* symmetry: Fd-3m
* DOS(E_F): 1.1 states/eV/f.u.